Record 1
The following is a DFT calculation (PBE) of AgH5Pd7 after structural relaxation.

a = 3.9434 Å, b = 4.9964 Å, c = 15.9836 Å
α = 90.00°, β = 90.03°, γ = 113.23°
Space group P1 (No. 1)
Asymmetric unit:
1 Ag 0.0000 0.0000 0.0000
2 Ag 0.1581 0.3113 0.5001
3 H 0.0078 0.0115 0.6606
4 H 0.1872 0.2990 0.1604
5 H 0.2429 0.9137 0.8006
6 H 0.4343 0.7998 0.5637
7 H 0.4442 0.8996 0.1641
8 H 0.5025 0.4907 0.8629
9 H 0.6561 0.8211 0.3632
10 H 0.7122 0.4095 0.6641
11 H 0.7318 0.5152 0.0634
12 H 0.9179 0.3989 0.3010
13 Pd 0.0768 0.1149 0.3323
14 Pd 0.0810 0.1965 0.8323
15 Pd 0.2008 0.3987 0.6638
16 Pd 0.2864 0.5700 0.0786
17 Pd 0.3556 0.7075 0.2716
18 Pd 0.3932 0.7953 0.8938
19 Pd 0.4531 0.9130 0.4567
20 Pd 0.5015 0.9932 0.7020
21 Pd 0.6554 0.3176 0.2025
22 Pd 0.7050 0.3983 0.9565
23 Pd 0.7645 0.5161 0.3940
24 Pd 0.8023 0.6044 0.7714
25 Pd 0.8716 0.7406 0.5786
26 Pd 0.9559 0.9120 0.1637

Calculated values
- Electronic total energy: -4.340 eV per atom
- DOS(E_F): 6.542 states/eV per cell
- Magnetization: 0.00 μB per cell
- Calculated volume: 11.13 A^3/atom

Record 2
The following is a DFT calculation (PBE) of Pr3SeN after structural relaxation.

a = 14.1690 Å, b = 11.3646 Å, c = 6.6303 Å
α = 90.00°, β = 99.72°, γ = 90.00°
Space group C2/c (No. 15)
Asymmetric unit:
1 Pr 0.0981 0.2439 0.4625
2 Pr 0.0993 0.0783 0.9493
3 Pr 0.1007 0.4111 0.9305
4 Se 0.2465 0.4070 0.3229
5 N 0.0000 0.0797 0.2500
6 N 0.0000 0.2443 0.7500

Calculated values
- Uncorrected formation energy: -5.86 eV/f.u.
- DOS(E_F): 26.251 states/eV per cell
- Magnetization: 0.00 μB per cell
- Calculated volume: 26.31 A^3/atom

Record 3
The following is a DFT calculation (PBE) of Cs3RbAu after structural relaxation.

a = 9.1649 Å, b = 10.0217 Å, c = 10.2930 Å
α = 104.17°, β = 90.03°, γ = 117.00°
Space group P-1 (No. 2)
Asymmetric unit:
1 Cs 0.0255 0.2547 0.1824
2 Cs 0.0376 0.2329 0.6754
3 Cs 0.4618 0.7683 0.5613
4 Rb 0.4819 0.7594 0.0651
5 Au 0.2495 0.0022 0.6349

Calculated values
- Relative energy among the computed polymorphs: 7 meV/atom
- ΔE_f: -0.701 eV/f.u.
- DOS(E_F): 9.983 states/eV per cell
- Magnetization: 0.00 μB per cell
- Calculated volume: 80.99 A^3/atom

Record 4
The following is a DFT calculation (PBE) of Na2CaPbF after structural relaxation.

a = 4.8794 Å, b = 4.8794 Å, c = 4.8737 Å
α = 90.00°, β = 90.00°, γ = 90.00°
Space group P4/mmm (No. 123)
Asymmetric unit:
1 Na 0.0000 0.5000 0.0000
2 Ca 0.0000 0.0000 0.5000
3 Pb 0.5000 0.5000 0.5000
4 F 0.0000 0.0000 0.0000

Calculated values
- Relative energy among the computed polymorphs: 0 meV/atom
- Uncorrected formation energy: -6.38 eV/f.u.
- DOS(E_F): 1.204 states/eV per cell
- Magnetization: 0.00 μB per cell
- Calculated volume: 23.21 A^3/atom

Record 5
The following is a DFT calculation (PBE) of TlCuHg2 after structural relaxation.

a = 4.6843 Å, b = 4.6843 Å, c = 18.8431 Å
α = 90.00°, β = 90.00°, γ = 90.00°
Space group I-42d (No. 122)
Asymmetric unit:
1 Tl 0.0000 0.0000 0.0000
2 Cu 0.0000 0.0000 0.5000
3 Hg 0.1900 0.2500 0.6250

Calculated values
- ΔE_f: 0.971 eV/f.u.
- DOS(E_F): 5.744 states/eV per cell
- Magnetization: 0.00 μB per cell
- Calculated volume: 25.84 A^3/atom

Record 6
The following is a DFT calculation (PBE) of Th4Bi8Pd3 after structural relaxation.

a = 4.6843 Å, b = 4.6843 Å, c = 19.1016 Å
α = 90.00°, β = 90.00°, γ = 90.00°
Space group P-4m2 (No. 115)
Asymmetric unit:
1 Th 0.0000 0.5000 0.1100
2 Th 0.0000 0.5000 0.6135
3 Bi 0.0000 0.0000 0.2465
4 Bi 0.0000 0.5000 0.4096
5 Bi 0.0000 0.5000 0.9188
6 Bi 0.5000 0.5000 0.2471
7 Pd 0.0000 0.0000 0.0000
8 Pd 0.0000 0.0000 0.5000
9 Pd 0.5000 0.5000 0.5000

Calculated values
- ΔE_f: -9.178 eV/f.u.
- DOS(E_F): 7.070 states/eV per cell
- Magnetization: 0.00 μB per cell
- Calculated volume: 27.94 A^3/atom

Record 7
The following is a DFT calculation (PBE) of Cs4MgCl6 after structural relaxation.

a = 13.0536 Å, b = 13.0536 Å, c = 16.5902 Å
α = 90.00°, β = 90.00°, γ = 120.00°
Space group R-3c (No. 167, hexagonal axes)
Asymmetric unit:
1 Cs 0.0000 0.0000 0.2500
2 Cs 0.0000 0.3678 0.2500
3 Mg 0.0000 0.0000 0.0000
4 Cl 0.0206 0.1714 0.4101

Calculated values
- Uncorrected formation energy: -21.49 eV/f.u.
- DOS(E_F): 0.000 states/eV per cell
- Magnetization: 0.00 μB per cell
- Calculated volume: 37.09 A^3/atom

Record 8
The following is a DFT calculation (PBE) of AgPt2 after structural relaxation.

a = 14.7075 Å, b = 2.7817 Å, c = 10.0297 Å
α = 90.00°, β = 108.47°, γ = 90.00°
Space group Cm (No. 8)
Asymmetric unit:
1 Ag 0.0000 0.0000 0.0000
2 Ag 0.0020 0.5000 0.2512
3 Ag 0.1690 0.5000 0.1708
4 Ag 0.3381 0.5000 0.5873
5 Pt 0.0039 0.5000 0.7556
6 Pt 0.0049 0.0000 0.5045
7 Pt 0.1669 0.5000 0.6648
8 Pt 0.1682 0.0000 0.9137
9 Pt 0.1706 0.0000 0.4221
10 Pt 0.3312 0.5000 0.0832
11 Pt 0.3319 0.0000 0.8350
12 Pt 0.3394 0.0000 0.3366

Calculated values
- Relative energy among the computed polymorphs: 34 meV/atom
- ΔE_f: 0.079 eV/f.u.
- DOS(E_F): 32.680 states/eV per cell
- Magnetization: 0.00 μB per cell
- Calculated volume: 16.22 A^3/atom